VASP calculation (GGA-PBE) on a relaxed structure of RbLa2CuSe4.

Uncorrected formation energy ... -1596 meV per atom

```
RbLa2CuSe4
1.0
-1.797 2.680 -2.876
-5.827 -2.654 4.416
1.929 11.331 9.357
Rb La Cu Se
2 4 2 8
Cartesian
0.013 8.218 7.653
-5.708 3.139 3.245
-3.831 5.404 7.432
-2.590 1.685 -0.059
-1.864 5.954 3.466
-3.104 9.673 10.957
-3.988 8.952 7.589
-1.707 2.405 3.309
-3.295 0.610 2.628
-2.923 7.676 5.733
-2.400 10.748 8.270
-2.772 3.682 5.165
0.965 5.666 4.678
0.000 0.000 0.000
-4.290 7.378 9.558
-1.405 3.980 1.339
```



VASP calculation (GGA-PBE) on a relaxed structure of PaSn3Ru4.

Energy relative to the elements ... -0.27 eV per atom

```
PaSn3Ru4
1.0
4.368 0.000 -1.179
-0.311 4.364 -1.152
-0.282 -0.317 7.636
Ru Pa Sn
4 1 3
Cartesian
1.287 1.362 4.768
2.488 2.684 0.537
0.460 0.499 1.703
3.315 3.547 3.602
2.184 0.000 -0.589
-0.155 2.182 -0.576
3.059 0.935 2.652
0.716 3.111 2.653
```



VASP calculation (GGA-PBE) on a relaxed structure of BaAcSb2Au4.

Uncorrected formation energy ... -495 meV per atom

```
BaAcSb2Au4
1.0
5.176 0.000 0.000
0.000 5.176 0.000
0.000 0.000 9.234
Ba Ac Sb Au
1 1 2 4
Cartesian
0.000 0.000 4.617
0.000 0.000 0.000
2.588 2.588 2.776
2.588 2.588 6.458
0.000 2.588 1.923
2.588 0.000 7.310
2.588 0.000 1.923
0.000 2.588 7.310
```



VASP calculation (GGA-PBE) on a relaxed structure of SrMgSN2.

Uncorrected formation energy ... 1125 meV per atom
Excess energy over the best structure of this formula in the dataset ... 0.938 eV per atom

```
SrMgSN2
1.0
4.710 0.000 0.000
0.000 4.710 0.000
0.000 0.000 5.813
Sr S Mg N
1 1 1 2
Cartesian
0.000 0.000 0.000
0.000 0.000 2.906
2.355 2.355 2.906
0.000 2.355 0.000
2.355 0.000 0.000
```



VASP calculation (GGA-PBE) on a relaxed structure of Zr3Cu5S12.

Uncorrected formation energy ... -623 meV per atom

```
Zr3Cu5S12
1.0
-10.660 5.695 -2.908
0.088 -2.682 12.138
9.558 7.490 -2.658
Zr Cu S
12 20 48
Cartesian
-6.767 4.202 2.038
-8.067 3.908 6.227
2.042 4.805 6.352
0.930 3.897 -0.207
-6.927 6.520 -1.692
-1.553 2.332 5.831
0.539 8.171 0.741
5.913 3.983 8.264
-1.944 6.606 6.778
-3.056 5.698 0.220
7.053 6.595 0.345
5.753 6.301 4.533
1.090 1.579 3.524
0.044 -1.341 6.069
0.000 0.000 0.000
-2.781 2.401 1.612
-0.551 6.592 -2.783
-5.286 1.506 4.615
2.318 1.509 7.743
0.379 10.490 -2.989
-4.356 5.404 4.408
3.182 7.418 -1.567
-4.196 3.085 8.139
-0.507 5.251 3.286
-5.330 2.847 -1.454
4.779 3.745 -1.329
3.342 5.099 2.163
-1.393 0.013 9.561
4.823 2.404 4.740
-3.332 8.994 -1.171
1.767 8.102 4.960
-2.104 8.924 3.048
-7.222 4.027 -0.621
0.509 3.487 4.518
-7.471 6.607 0.956
-4.509 3.467 0.692
0.264 6.470 5.179
-8.512 5.192 3.890
0.557 2.850 7.484
0.369 -0.982 10.496
0.256 5.829 8.144
-5.901 3.805 4.569
-4.784 6.019 2.309
-8.336 2.559 8.555
3.854 2.864 6.864
-3.100 1.653 3.687
2.713 0.824 9.827
1.222 6.421 -1.204
1.153 1.629 1.296
-3.994 1.472 6.613
-5.994 4.387 7.937
-0.491 0.286 4.417
3.634 5.421 8.482
-2.260 4.767 4.821
-4.479 7.023 5.935
0.395 10.446 -0.761
1.246 5.736 1.751
3.465 3.479 0.637
-1.409 0.057 7.333
4.980 6.116 -1.365
-4.648 5.081 -1.910
-0.523 10.216 2.155
2.980 9.031 -0.041
-2.235 4.082 7.776
-2.167 8.874 5.276
-3.727 9.679 -3.255
-4.868 7.638 -0.292
7.322 7.943 -1.983
2.086 8.850 2.885
-1.270 4.674 -1.572
4.887 6.698 2.003
3.770 4.484 4.263
-1.383 11.485 -3.924
-1.571 7.652 -0.912
3.495 7.036 5.880
7.498 5.310 2.682
-1.278 4.033 1.393
6.457 3.896 5.616
-1.523 7.016 2.054
6.208 6.476 7.193
```



VASP calculation (GGA-PBE) on a relaxed structure of BaPmAgPd.

Energy relative to the elements ... -0.29 eV per atom

```
BaPmAgPd
1.0
5.401 0.000 0.000
2.700 4.677 0.000
2.700 1.559 4.410
Pd Ba Ag Pm
1 1 1 1
Cartesian
8.101 4.677 3.307
0.000 0.000 0.000
2.700 1.559 1.102
5.401 3.118 2.205
```



VASP calculation (GGA-PBE) on a relaxed structure of CuSi3Ge.

Uncorrected formation energy ... 768 meV per atom
Excess energy over the best structure of this formula in the dataset ... 0.000 eV per atom

```
CuSi3Ge
1.0
4.528 0.000 0.000
0.000 4.528 0.000
0.000 0.000 4.528
Ge Si Cu
1 3 1
Cartesian
2.264 2.264 2.264
0.000 2.264 0.000
0.000 0.000 2.264
2.264 0.000 0.000
0.000 0.000 0.000
```



VASP calculation (GGA-PBE) on a relaxed structure of MgInGaS4.

Uncorrected formation energy ... -819 meV per atom

```
MgInGaS4
1.0
-0.266 6.947 -2.650
-4.460 5.043 3.225
3.002 5.596 3.924
Mg In Ga S
2 2 2 8
Cartesian
1.368 6.271 0.637
1.501 2.798 1.962
0.000 0.000 0.000
-0.729 5.319 3.575
-2.567 8.159 0.760
0.844 9.427 3.740
-1.376 13.177 3.351
-1.247 9.715 4.707
-0.477 7.871 -0.207
-0.348 4.409 1.148
-2.666 6.929 2.787
-2.800 10.416 1.457
1.076 7.170 3.043
0.942 10.657 1.713
```



VASP calculation (GGA-PBE) on a relaxed structure of CaSm2Rh9.

Energy relative to the elements ... -0.44 eV per atom

```
CaSm2Rh9
1.0
-2.472 -4.582 1.026
0.963 -4.265 -3.006
6.044 -5.273 4.735
Ca Sm Rh
1 2 9
Cartesian
0.000 0.000 0.000
1.198 -9.808 0.250
3.337 -4.312 2.504
5.025 -11.166 3.404
-0.490 -2.954 -0.650
2.268 -7.060 1.377
0.854 -4.998 0.335
-0.380 -7.284 0.847
1.334 -7.126 -1.165
3.682 -9.122 2.420
3.201 -6.994 3.920
4.915 -6.836 1.908
```



VASP calculation (GGA-PBE) on a relaxed structure of TlGaAgSn.

Energy relative to the elements ... 0.14 eV per atom

```
TlGaAgSn
1.0
5.128 0.000 0.000
2.564 4.441 0.000
2.564 1.480 4.187
Tl Ga Sn Ag
1 1 1 1
Cartesian
5.128 2.961 2.093
7.692 4.441 3.140
0.000 0.000 0.000
2.564 1.480 1.047
```



VASP calculation (GGA-PBE) on a relaxed structure of DyY4Te2.

Uncorrected formation energy ... -516 meV per atom

```
DyY4Te2
1.0
-0.388 1.367 5.259
-3.724 -2.400 3.171
4.473 -6.670 4.886
Dy Y Te
1 4 2
Cartesian
0.180 -3.851 6.658
0.558 -6.089 10.089
-1.767 -3.572 9.263
-0.198 -1.614 3.227
2.127 -4.131 4.052
-1.859 -1.644 5.933
2.219 -6.059 7.382
```



VASP calculation (GGA-PBE) on a relaxed structure of AlPS4.

Uncorrected formation energy ... -540 meV per atom

```
AlPS4
1.0
5.524 0.000 0.000
0.000 5.524 0.000
0.000 0.000 8.805
Al P S
2 2 8
Cartesian
0.000 0.000 0.000
0.000 0.000 4.402
0.000 2.762 2.201
2.762 0.000 6.604
1.574 1.279 7.712
3.950 4.245 7.712
1.279 1.574 3.309
1.574 4.245 5.496
3.950 1.279 5.496
1.279 3.950 1.093
4.245 1.574 1.093
4.245 3.950 3.309
```



VASP calculation (GGA-PBE) on a relaxed structure of HgAs2Ru.

Energy relative to the elements ... 0.03 eV per atom

```
HgAs2Ru
1.0
4.601 0.000 0.007
3.575 2.897 0.007
1.659 0.588 6.395
Ru As Hg
1 2 1
Cartesian
1.788 0.634 0.721
7.674 2.719 0.614
7.781 2.757 5.118
5.684 2.014 3.174
```